w | Entry from the Alexandria database: a relaxed CoPtSe2 crystal (GGA-PBE).

Results
M_tot ... 6.51 Bohr magnetons per cell
Crystal system ... cubic

Cell: 6.4285 6.4285 6.4285 Å, 90.00 90.00 90.00°
Closest atoms and distances in Å follow each position.
Sites, in units of the cell vectors:
Co 0.0000 0.0000 0.0000  4 Se 2.78, 4 Pt 2.78
Co 0.0000 0.5000 0.5000  4 Se 2.78, 4 Pt 2.78
Co 0.5000 0.0000 0.5000  4 Se 2.78, 4 Pt 2.78
Co 0.5000 0.5000 0.0000  4 Se 2.78, 4 Pt 2.78
Pt 0.2500 0.2500 0.2500  4 Se 2.78, 4 Co 2.78
Pt 0.2500 0.7500 0.7500  4 Se 2.78, 4 Co 2.78
Pt 0.7500 0.2500 0.7500  4 Se 2.78, 4 Co 2.78
Pt 0.7500 0.7500 0.2500  4 Se 2.78, 4 Co 2.78
Se 0.0000 0.0000 0.5000  4 Se 2.78, 4 Pt 2.78
Se 0.0000 0.5000 0.0000  4 Se 2.78, 4 Pt 2.78
Se 0.2500 0.2500 0.7500  4 Se 2.78, 4 Co 2.78
Se 0.2500 0.7500 0.2500  4 Se 2.78, 4 Co 2.78
Se 0.5000 0.0000 0.0000  4 Se 2.78, 4 Pt 2.78
Se 0.5000 0.5000 0.5000  4 Se 2.78, 4 Pt 2.78
Se 0.7500 0.2500 0.2500  4 Se 2.78, 4 Co 2.78
Se 0.7500 0.7500 0.7500  4 Co 2.78, 4 Se 2.78

x | Entry from the Alexandria database: a relaxed CoPtSe2 crystal (GGA-PBE).

Results
M_tot ... 0.00 Bohr magnetons per cell
Crystal system ... trigonal

Cell: 3.3778 3.3778 22.2463 Å, 90.00 90.00 120.00°
Closest atoms and distances in Å follow each position.
Sites, in units of the cell vectors:
Co 0.0000 0.0000 0.0000  6 Se 2.35
Co 0.3333 0.6667 0.6667  6 Se 2.35
Co 0.6667 0.3333 0.3333  6 Se 2.35
Pt 0.0000 0.0000 0.5000  2 Se 2.40
Pt 0.3333 0.6667 0.1667  2 Se 2.40
Pt 0.6667 0.3333 0.8333  2 Se 2.40
Se 0.0000 0.0000 0.3922  3 Co 2.35, 1 Pt 2.40
Se 0.0000 0.0000 0.6078  3 Co 2.35, 1 Pt 2.40
Se 0.3333 0.6667 0.0589  3 Co 2.35, 1 Pt 2.40
Se 0.3333 0.6667 0.2745  3 Co 2.35, 1 Pt 2.40
Se 0.6667 0.3333 0.7255  3 Co 2.35, 1 Pt 2.40
Se 0.6667 0.3333 0.9411  3 Co 2.35, 1 Pt 2.40

It is x that is the most stable of them.

w | Entry from the Alexandria database: a relaxed Co3PtSe crystal (GGA-PBE).

Results
M_tot ... 4.44 Bohr magnetons per cell
Crystal system ... cubic

Cell: 4.2796 4.2796 4.2796 Å, 90.00 90.00 90.00°
Closest atoms and distances in Å follow each position.
Sites, in units of the cell vectors:
Co 0.0000 0.0000 0.5000  2 Se 2.14
Co 0.0000 0.5000 0.0000  2 Se 2.14
Co 0.5000 0.0000 0.0000  2 Se 2.14
Pt 0.5000 0.5000 0.5000  12 Co 3.03
Se 0.0000 0.0000 0.0000  6 Co 2.14

x | Entry from the Alexandria database: a relaxed Co3PtSe crystal (GGA-PBE).

Results
M_tot ... 7.00 Bohr magnetons per cell
Crystal system ... cubic

Cell: 4.6455 4.6455 4.6455 Å, 90.00 90.00 90.00°
Closest atoms and distances in Å follow each position.
Sites, in units of the cell vectors:
Co 0.0000 0.0000 0.5000  2 Pt 2.32
Co 0.0000 0.5000 0.0000  2 Pt 2.32
Co 0.5000 0.0000 0.0000  2 Pt 2.32
Pt 0.0000 0.0000 0.0000  6 Co 2.32
Se 0.5000 0.5000 0.5000  12 Co 3.28

It is w that is the most stable of them.

w | Entry from the Alexandria database: a relaxed CoPt2Se6 crystal (GGA-PBE).

Results
M_tot ... 0.00 Bohr magnetons per cell
Crystal system ... monoclinic

Cell: 5.9368 5.9368 11.0350 Å, 118.14 118.14 36.77°
Closest atoms and distances in Å follow each position.
Sites, in units of the cell vectors:
Co 0.0000 0.0000 0.0000  6 Se 2.38-2.41
Pt 0.3384 0.3384 0.6714  6 Se 2.51-2.54
Pt 0.6616 0.6616 0.3286  6 Se 2.51-2.54
Se 0.0091 0.0091 0.7892  1 Co 2.38, 2 Pt 2.53
Se 0.3338 0.3338 0.4392  3 Pt 2.53-2.54
Se 0.3461 0.3461 0.9027  2 Co 2.41, 1 Pt 2.51
Se 0.6539 0.6539 0.0973  2 Co 2.41, 1 Pt 2.51
Se 0.6662 0.6662 0.5608  3 Pt 2.53-2.54
Se 0.9909 0.9909 0.2108  1 Co 2.38, 2 Pt 2.53

x | Entry from the Alexandria database: a relaxed CoPt2Se6 crystal (GGA-PBE).

Results
M_tot ... 5.11 Bohr magnetons per cell
Crystal system ... tetragonal

Cell: 5.7152 5.7152 11.7120 Å, 90.00 90.00 90.00°
Closest atoms and distances in Å follow each position.
Sites, in units of the cell vectors:
Co 0.0000 0.0000 0.0000  6 Se 2.39-2.43
Co 0.5000 0.5000 0.5000  6 Se 2.39-2.43
Pt 0.0000 0.0000 0.3331  6 Se 2.54
Pt 0.0000 0.0000 0.6669  6 Se 2.54
Pt 0.5000 0.5000 0.1669  6 Se 2.54
Pt 0.5000 0.5000 0.8331  6 Se 2.54
Se 0.1866 0.1866 0.1584  1 Co 2.39, 2 Pt 2.54
Se 0.1866 0.1866 0.8416  1 Co 2.39, 2 Pt 2.54
Se 0.1998 0.1998 0.5000  1 Co 2.43, 2 Pt 2.54
Se 0.3002 0.6998 0.0000  1 Co 2.43, 2 Pt 2.54
Se 0.3134 0.6866 0.3416  1 Co 2.39, 2 Pt 2.54
Se 0.3134 0.6866 0.6584  1 Co 2.39, 2 Pt 2.54
Se 0.6866 0.3134 0.3416  1 Co 2.39, 2 Pt 2.54
Se 0.6866 0.3134 0.6584  1 Co 2.39, 2 Pt 2.54
Se 0.6998 0.3002 0.0000  1 Co 2.43, 2 Pt 2.54
Se 0.8002 0.8002 0.5000  1 Co 2.43, 2 Pt 2.54
Se 0.8134 0.8134 0.1584  1 Co 2.39, 2 Pt 2.54
Se 0.8134 0.8134 0.8416  1 Co 2.39, 2 Pt 2.54

It is w that is the most stable of them.

w | Entry from the Alexandria database: a relaxed CoTePt2Se crystal (GGA-PBE).

Results
M_tot ... 0.95 Bohr magnetons per cell
Crystal system ... tetragonal

Cell: 4.8760 4.8760 4.1649 Å, 90.00 90.00 90.00°
Closest atoms and distances in Å follow each position.
Sites, in units of the cell vectors:
Co 0.0000 0.0000 0.0000  2 Se 2.08
Te 0.5000 0.5000 0.5000  8 Pt 3.21, 4 Se 3.45
Pt 0.0000 0.5000 0.0000  2 Co 2.44
Pt 0.5000 0.0000 0.0000  2 Co 2.44
Se 0.0000 0.0000 0.5000  2 Co 2.08

x | Entry from the Alexandria database: a relaxed CoTePt2Se crystal (GGA-PBE).

Results
M_tot ... 2.13 Bohr magnetons per cell
Crystal system ... tetragonal

Cell: 4.6046 4.6046 5.8261 Å, 90.00 90.00 90.00°
Closest atoms and distances in Å follow each position.
Sites, in units of the cell vectors:
Co 0.0000 0.0000 0.0000  4 Te 3.26
Te 0.5000 0.5000 0.0000  2 Se 2.91, 4 Co 3.26
Pt 0.0000 0.5000 0.5000  2 Se 2.30
Pt 0.5000 0.0000 0.5000  2 Se 2.30
Se 0.5000 0.5000 0.5000  4 Pt 2.30

It is w that is the most stable of them.

w | Entry from the Alexandria database: a relaxed CoSiPt3 crystal (GGA-PBE).

Results
M_tot ... 3.09 Bohr magnetons per cell
Crystal system ... cubic

Cell: 4.5660 4.5660 4.5660 Å, 90.00 90.00 90.00°
Closest atoms and distances in Å follow each position.
Sites, in units of the cell vectors:
Co 0.0000 0.0000 0.0000  6 Pt 2.28
Si 0.5000 0.5000 0.5000  12 Pt 3.23
Pt 0.0000 0.0000 0.5000  2 Co 2.28
Pt 0.0000 0.5000 0.0000  2 Co 2.28
Pt 0.5000 0.0000 0.0000  2 Co 2.28

x | Entry from the Alexandria database: a relaxed CoSiPt3 crystal (GGA-PBE).

Results
M_tot ... 2.28 Bohr magnetons per cell
Crystal system ... cubic

Cell: 4.4909 4.4909 4.4909 Å, 90.00 90.00 90.00°
Closest atoms and distances in Å follow each position.
Sites, in units of the cell vectors:
Co 0.0000 0.0000 0.0000  12 Pt 3.18
Si 0.5000 0.5000 0.5000  6 Pt 2.25
Pt 0.0000 0.5000 0.5000  2 Si 2.25
Pt 0.5000 0.0000 0.5000  2 Si 2.25
Pt 0.5000 0.5000 0.0000  2 Si 2.25

It is x that is the most stable of them.

w | Entry from the Alexandria database: a relaxed CoSi2Pt crystal (GGA-PBE).

Results
M_tot ... 0.00 Bohr magnetons per cell
Crystal system ... monoclinic

Cell: 7.6081 2.8801 4.8078 Å, 90.00 101.10 90.00°
Closest atoms and distances in Å follow each position.
Sites, in units of the cell vectors:
Co 0.0000 0.0000 0.0000  6 Si 2.39-2.42
Co 0.5000 0.5000 0.0000  6 Si 2.39-2.42
Si 0.2437 0.5000 0.2184  3 Co 2.39-2.42, 3 Pt 2.50-2.59, 2 Si 2.56
Si 0.2563 0.0000 0.7816  3 Co 2.39-2.42, 3 Pt 2.50-2.59, 2 Si 2.56
Si 0.7437 0.0000 0.2184  3 Co 2.39-2.42, 3 Pt 2.50-2.59, 2 Si 2.56
Si 0.7563 0.5000 0.7816  3 Co 2.39-2.42, 3 Pt 2.50-2.59, 2 Si 2.56
Pt 0.0000 0.5000 0.5000  6 Si 2.50-2.59
Pt 0.5000 0.0000 0.5000  6 Si 2.50-2.59

x | Entry from the Alexandria database: a relaxed CoSi2Pt crystal (GGA-PBE).

Results
M_tot ... 0.00 Bohr magnetons per cell
Crystal system ... cubic

Cell: 5.8963 5.8963 5.8963 Å, 90.00 90.00 90.00°
Closest atoms and distances in Å follow each position.
Sites, in units of the cell vectors:
Co 0.0000 0.0000 0.0000  8 Si 2.55
Co 0.0000 0.5000 0.5000  8 Si 2.55
Co 0.5000 0.0000 0.5000  8 Si 2.55
Co 0.5000 0.5000 0.0000  8 Si 2.55
Si 0.2500 0.2500 0.2500  4 Co 2.55, 4 Pt 2.55
Si 0.2500 0.2500 0.7500  4 Co 2.55, 4 Pt 2.55
Si 0.2500 0.7500 0.2500  4 Co 2.55, 4 Pt 2.55
Si 0.2500 0.7500 0.7500  4 Co 2.55, 4 Pt 2.55
Si 0.7500 0.2500 0.2500  4 Co 2.55, 4 Pt 2.55
Si 0.7500 0.2500 0.7500  4 Co 2.55, 4 Pt 2.55
Si 0.7500 0.7500 0.2500  4 Co 2.55, 4 Pt 2.55
Si 0.7500 0.7500 0.7500  4 Pt 2.55, 4 Co 2.55
Pt 0.0000 0.0000 0.5000  8 Si 2.55
Pt 0.0000 0.5000 0.0000  8 Si 2.55
Pt 0.5000 0.0000 0.0000  8 Si 2.55
Pt 0.5000 0.5000 0.5000  8 Si 2.55

y | Entry from the Alexandria database: a relaxed CoSi2Pt crystal (GGA-PBE).

Results
M_tot ... 0.00 Bohr magnetons per cell
Crystal system ... trigonal

Cell: 3.7379 3.7379 13.5020 Å, 90.00 90.00 120.00°
Closest atoms and distances in Å follow each position.
Sites, in units of the cell vectors:
Co 0.0000 0.0000 0.0000  6 Si 2.24-2.45
Co 0.3333 0.6667 0.6667  6 Si 2.24-2.45
Co 0.6667 0.3333 0.3333  6 Si 2.24-2.45
Si 0.0000 0.0000 0.3772  3 Co 2.24
Si 0.0000 0.0000 0.5806  3 Co 2.45, 3 Pt 2.60
Si 0.3333 0.6667 0.0438  3 Co 2.24
Si 0.3333 0.6667 0.2472  3 Co 2.45, 3 Pt 2.60
Si 0.6667 0.3333 0.7105  3 Co 2.24
Si 0.6667 0.3333 0.9139  3 Co 2.45, 3 Pt 2.60
Pt 0.0000 0.0000 0.8065  6 Si 2.52-2.60, 1 Co 2.61
Pt 0.3333 0.6667 0.4732  6 Si 2.52-2.60, 1 Co 2.61
Pt 0.6667 0.3333 0.1399  6 Si 2.52-2.60, 1 Co 2.61

z | Entry from the Alexandria database: a relaxed CoSi2Pt crystal (GGA-PBE).

Results
M_tot ... 1.90 Bohr magnetons per cell
Crystal system ... tetragonal

Cell: 3.9323 3.9323 6.6509 Å, 90.00 90.00 90.00°
Closest atoms and distances in Å follow each position.
Sites, in units of the cell vectors:
Co 0.0000 0.0000 0.0000  8 Si 2.57, 4 Pt 2.78
Co 0.5000 0.5000 0.5000  8 Si 2.57, 4 Pt 2.78
Si 0.0000 0.5000 0.2500  4 Pt 2.57, 4 Co 2.57, 4 Si 2.78
Si 0.0000 0.5000 0.7500  4 Pt 2.57, 4 Co 2.57, 4 Si 2.78
Si 0.5000 0.0000 0.2500  4 Pt 2.57, 4 Co 2.57, 4 Si 2.78
Si 0.5000 0.0000 0.7500  4 Pt 2.57, 4 Co 2.57, 4 Si 2.78
Pt 0.0000 0.0000 0.5000  8 Si 2.57, 4 Co 2.78
Pt 0.5000 0.5000 0.0000  8 Si 2.57, 4 Co 2.78

It is y that is the most stable of them.